No. 1
Material: Sc5Co2Au
Method: DFT, GGA-PBE
State: optimized geometry

Values from the calculation:
Formation energy from the elements ... -43 kJ per mole of atoms
Symmetry ... I4/mcm (140)
Fermi-level density of states ... 14.612 states/eV per cell
VASP energy ... -6.584 eV/atom

a = 7.9868 Å, b = 7.9868 Å, c = 7.9868 Å
α = 128.36°, β = 128.36°, γ = 76.04°
With the nearest neighbours (Å) after each atom.
Sites, in units of the cell vectors:
Sc  0.0000  0.0000  0.0000  4 Co 2.73
Sc  0.0284  0.5284  0.8306  3 Co 2.65-2.70, 2 Au 2.96
Sc  0.1978  0.0284  0.5000  3 Co 2.65-2.70, 2 Au 2.96
Sc  0.3022  0.8022  0.8306  3 Co 2.65-2.70, 2 Au 2.96
Sc  0.4716  0.3022  0.5000  3 Co 2.65-2.70, 2 Au 2.96
Sc  0.5000  0.5000  0.0000  4 Co 2.73
Sc  0.5284  0.6978  0.5000  3 Co 2.65-2.70, 2 Au 2.96
Sc  0.6978  0.1978  0.1694  3 Co 2.65-2.70, 2 Au 2.96
Sc  0.8022  0.9716  0.5000  3 Co 2.65-2.70, 2 Au 2.96
Sc  0.9716  0.4716  0.1694  3 Co 2.65-2.70, 2 Au 2.96
Co  0.1307  0.3693  0.5000  1 Co 2.57, 8 Sc 2.65-2.73
Co  0.3693  0.8693  0.2387  1 Co 2.57, 8 Sc 2.65-2.73
Co  0.6307  0.1307  0.7613  1 Co 2.57, 8 Sc 2.65-2.73
Co  0.8693  0.6307  0.5000  1 Co 2.57, 8 Sc 2.65-2.73
Au  0.2500  0.2500  0.0000  10 Sc 2.96-3.15
Au  0.7500  0.7500  0.0000  10 Sc 2.96-3.15

No. 2
Material: ScCoAu2
Method: DFT, GGA-PBE
State: optimized geometry

Values from the calculation:
Formation energy from the elements ... -2 kJ per mole of atoms
Symmetry ... I-42d (122)
Fermi-level density of states ... 5.872 states/eV per cell
VASP energy ... -5.015 eV/atom

a = 9.9892 Å, b = 9.9892 Å, c = 9.9892 Å
α = 157.75°, β = 157.75°, γ = 31.67°
With the nearest neighbours (Å) after each atom.
Sites, in units of the cell vectors:
Sc  0.0000  0.0000  0.0000  4 Co 2.73, 4 Au 2.78
Sc  0.7500  0.2500  0.5000  4 Co 2.73, 4 Au 2.78
Co  0.2500  0.7500  0.5000  4 Sc 2.73, 4 Au 2.75
Co  0.5000  0.5000  0.0000  4 Sc 2.73, 4 Au 2.75
Au  0.1351  0.6250  0.0101  4 Au 2.67-2.78, 2 Co 2.75, 2 Sc 2.78
Au  0.3750  0.3851  0.5101  4 Au 2.67-2.78, 2 Co 2.75, 2 Sc 2.78
Au  0.6149  0.1250  0.9899  4 Au 2.67-2.78, 2 Co 2.75, 2 Sc 2.78
Au  0.8750  0.8649  0.4899  4 Au 2.67-2.78, 2 Co 2.75, 2 Sc 2.78

No. 3
Material: Sc5CoAu
Method: DFT, GGA-PBE
State: optimized geometry

Values from the calculation:
Formation energy from the elements ... -23 kJ per mole of atoms
Symmetry ... C2/c (15)
Fermi-level density of states ... 15.558 states/eV per cell
VASP energy ... -6.248 eV/atom

a = 5.3293 Å, b = 5.3293 Å, c = 10.9327 Å
α = 101.34°, β = 101.34°, γ = 76.39°
With the nearest neighbours (Å) after each atom.
Sites, in units of the cell vectors:
Sc  0.0028  0.9972  0.7500  2 Co 2.73, 1 Au 2.74, 2 Sc 2.97
Sc  0.0803  0.4165  0.1243  1 Co 2.45
Sc  0.2113  0.5419  0.4324  1 Co 2.47
Sc  0.4165  0.0803  0.6243  1 Co 2.45
Sc  0.4581  0.7887  0.0676  1 Co 2.47
Sc  0.5419  0.2113  0.9324  1 Co 2.47
Sc  0.5835  0.9197  0.3757  1 Co 2.45
Sc  0.7887  0.4581  0.5676  1 Co 2.47
Sc  0.9197  0.5835  0.8757  1 Co 2.45
Sc  0.9972  0.0028  0.2500  2 Co 2.73, 1 Au 2.74, 2 Sc 2.97
Co  0.0000  0.0000  0.0000  6 Sc 2.45-2.73
Co  0.0000  0.0000  0.5000  6 Sc 2.45-2.73
Au  0.4191  0.5809  0.7500  5 Sc 2.74-2.95
Au  0.5809  0.4191  0.2500  5 Sc 2.74-2.95

No. 4
Material: ScCo4Au2
Method: DFT, GGA-PBE
State: optimized geometry

Values from the calculation:
Formation energy from the elements ... 96 kJ per mole of atoms
Symmetry ... I4/mmm (139)
Fermi-level density of states ... 12.627 states/eV per cell
VASP energy ... -4.909 eV/atom

a = 7.2180 Å, b = 7.2180 Å, c = 7.2180 Å
α = 145.14°, β = 145.14°, γ = 50.12°
With the nearest neighbours (Å) after each atom.
Sites, in units of the cell vectors:
Sc  0.0000  0.0000  0.0000  4 Co 2.16
Co  0.0000  0.5000  0.5000  2 Sc 2.16
Co  0.1940  0.1940  0.0000  1 Au 2.50, 1 Sc 2.54
Co  0.5000  0.0000  0.5000  2 Sc 2.16
Co  0.8060  0.8060  0.0000  1 Au 2.50, 1 Sc 2.54
Au  0.3851  0.3851  0.0000  5 Co 2.50-2.63
Au  0.6149  0.6149  0.0000  5 Co 2.50-2.63

No. 5
Material: ScCo2Au
Method: DFT, GGA-PBE
State: optimized geometry

Values from the calculation:
Formation energy from the elements ... 17 kJ per mole of atoms
Symmetry ... I-42d (122)
Fermi-level density of states ... 9.322 states/eV per cell
VASP energy ... -5.778 eV/atom

a = 9.5179 Å, b = 9.5179 Å, c = 9.5179 Å
α = 156.70°, β = 156.70°, γ = 33.19°
With the nearest neighbours (Å) after each atom.
Sites, in units of the cell vectors:
Sc  0.0000  0.0000  0.0000  4 Au 2.72, 4 Co 2.76
Sc  0.7500  0.2500  0.5000  4 Au 2.72, 4 Co 2.76
Co  0.1955  0.6250  0.0705  2 Co 2.37, 2 Au 2.57
Co  0.3750  0.4455  0.5705  2 Co 2.37, 2 Au 2.57
Co  0.5545  0.1250  0.9295  2 Co 2.37, 2 Au 2.57
Co  0.8750  0.8045  0.4295  2 Co 2.37, 2 Au 2.57
Au  0.2500  0.7500  0.5000  4 Co 2.57, 4 Sc 2.72
Au  0.5000  0.5000  0.0000  4 Co 2.57, 4 Sc 2.72

No. 6
Material: ScCo2Au
Method: DFT, GGA-PBE
State: optimized geometry

Values from the calculation:
Formation energy from the elements ... -17 kJ per mole of atoms
Symmetry ... Pmm2 (25)
Fermi-level density of states ... 3.679 states/eV per cell
VASP energy ... -6.136 eV/atom

a = 3.1943 Å, b = 3.2495 Å, c = 5.8603 Å
α = 90.00°, β = 90.00°, γ = 90.00°
With the nearest neighbours (Å) after each atom.
Sites, in units of the cell vectors:
Sc  0.0000  0.0000  0.0000  5 Co 2.56-2.76, 4 Au 2.83
Co  0.0000  0.0000  0.5627  4 Co 2.49, 1 Sc 2.56
Co  0.5000  0.5000  0.7333  4 Co 2.49, 1 Au 2.61, 4 Sc 2.76
Au  0.5000  0.5000  0.2877  5 Co 2.61-2.79, 4 Sc 2.83

No. 7
Material: ScCo2Au
Method: DFT, GGA-PBE
State: optimized geometry

Values from the calculation:
Formation energy from the elements ... -14 kJ per mole of atoms
Symmetry ... C2/m (12)
Fermi-level density of states ... 5.295 states/eV per cell
VASP energy ... -6.096 eV/atom

a = 4.7685 Å, b = 4.7685 Å, c = 3.9287 Å
α = 114.33°, β = 114.33°, γ = 48.19°
With the nearest neighbours (Å) after each atom.
Sites, in units of the cell vectors:
Sc  0.0000  0.0000  0.0000  8 Co 2.68-2.84, 4 Au 2.77
Co  0.2494  0.2494  0.7796  2 Co 2.60, 4 Sc 2.68-2.84, 4 Au 2.68-2.85
Co  0.7506  0.7506  0.2204  2 Co 2.60, 4 Sc 2.68-2.84, 4 Au 2.68-2.85
Au  0.5000  0.5000  0.5000  8 Co 2.68-2.85, 4 Sc 2.77

No. 8
Material: ScCoAu4
Method: DFT, GGA-PBE
State: optimized geometry

Values from the calculation:
Formation energy from the elements ... 3 kJ per mole of atoms
Symmetry ... F-43m (216)
Fermi-level density of states ... 7.594 states/eV per cell
VASP energy ... -4.394 eV/atom

a = 5.4254 Å, b = 5.4254 Å, c = 5.4254 Å
α = 60.00°, β = 60.00°, γ = 60.00°
With the nearest neighbours (Å) after each atom.
Sites, in units of the cell vectors:
Sc  0.0000  0.0000  0.0000  12 Au 3.18, 4 Co 3.32
Co  0.2500  0.2500  0.2500  12 Au 3.18, 4 Sc 3.32
Au  0.1259  0.6247  0.6247  6 Au 2.71-2.72
Au  0.6247  0.1259  0.6247  6 Au 2.71-2.72
Au  0.6247  0.6247  0.1259  6 Au 2.71-2.72
Au  0.6247  0.6247  0.6247  6 Au 2.71-2.72

No. 9
Material: Sc4Co3Au
Method: DFT, GGA-PBE
State: optimized geometry

Values from the calculation:
Formation energy from the elements ... -42 kJ per mole of atoms
Symmetry ... P4/mmm (123)
Fermi-level density of states ... 4.007 states/eV per cell
VASP energy ... -6.678 eV/atom

a = 4.5234 Å, b = 4.5234 Å, c = 6.4480 Å
α = 90.00°, β = 90.00°, γ = 90.00°
With the nearest neighbours (Å) after each atom.
Sites, in units of the cell vectors:
Sc  0.0000  0.5000  0.2373  6 Co 2.73-2.83, 2 Au 2.83
Sc  0.0000  0.5000  0.7627  6 Co 2.73-2.83, 2 Au 2.83
Sc  0.5000  0.0000  0.2373  6 Co 2.73-2.83, 2 Au 2.83
Sc  0.5000  0.0000  0.7627  6 Co 2.73-2.83, 2 Au 2.83
Co  0.0000  0.0000  0.0000  8 Sc 2.73
Co  0.0000  0.0000  0.5000  8 Sc 2.83
Co  0.5000  0.5000  0.0000  8 Sc 2.73
Au  0.5000  0.5000  0.5000  8 Sc 2.83

No. 10
Material: ScCoAu
Method: DFT, GGA-PBE
State: optimized geometry

Values from the calculation:
Formation energy from the elements ... -14 kJ per mole of atoms
Symmetry ... F-43m (216)
Fermi-level density of states ... 4.947 states/eV per cell
VASP energy ... -5.721 eV/atom

a = 4.2626 Å, b = 4.2626 Å, c = 4.2626 Å
α = 60.00°, β = 60.00°, γ = 60.00°
With the nearest neighbours (Å) after each atom.
Sites, in units of the cell vectors:
Sc  0.0000  0.0000  0.0000  4 Co 2.61
Co  0.2500  0.2500  0.2500  4 Au 2.61, 4 Sc 2.61
Au  0.5000  0.5000  0.5000  4 Co 2.61

No. 11
Material: ScCoAu2
Method: DFT, GGA-PBE
State: optimized geometry

Values from the calculation:
Formation energy from the elements ... -30 kJ per mole of atoms
Symmetry ... P4mm (99)
Fermi-level density of states ... 2.617 states/eV per cell
VASP energy ... -5.313 eV/atom

a = 3.4316 Å, b = 3.4316 Å, c = 5.7365 Å
α = 90.00°, β = 90.00°, γ = 90.00°
With the nearest neighbours (Å) after each atom.
Sites, in units of the cell vectors:
Sc  0.0000  0.0000  0.0000  5 Au 2.70-2.84, 4 Co 2.80
Co  0.5000  0.5000  0.7554  6 Au 2.75-2.88, 4 Sc 2.80
Au  0.0000  0.0000  0.5301  1 Sc 2.70, 4 Co 2.75, 4 Au 2.89
Au  0.5000  0.5000  0.2572  4 Sc 2.84, 2 Co 2.86-2.88, 4 Au 2.89

No. 12
Material: ScCoAu2
Method: DFT, GGA-PBE
State: optimized geometry

Values from the calculation:
Formation energy from the elements ... -34 kJ per mole of atoms
Symmetry ... I-4m2 (119)
Fermi-level density of states ... 4.925 states/eV per cell
VASP energy ... -5.354 eV/atom

a = 4.9578 Å, b = 4.9578 Å, c = 4.9578 Å
α = 132.14°, β = 132.14°, γ = 70.01°
With the nearest neighbours (Å) after each atom.
Sites, in units of the cell vectors:
Sc  0.0000  0.0000  0.0000  8 Au 2.84-2.86, 4 Co 2.86
Co  0.2500  0.7500  0.5000  8 Au 2.84-2.86, 4 Sc 2.86
Au  0.5000  0.5000  0.0000  4 Sc 2.84, 4 Au 2.86, 4 Co 2.86
Au  0.7500  0.2500  0.5000  4 Co 2.84, 4 Sc 2.86, 4 Au 2.86